# MnTl2O2 (PBE+U, relaxed)
data_MnTl2O2
_cell_length_a 7.731
_cell_length_b 7.731
_cell_length_c 3.464
_cell_angle_alpha 90.00
_cell_angle_beta 90.00
_cell_angle_gamma 90.00
_space_group_name_H-M_alt 'P 4/m b m'
_space_group_IT_number 127
_space_group_name_Hall '-P 4 2ab'
loop_
_atom_site_label
_atom_site_fract_x
_atom_site_fract_y
_atom_site_fract_z
Mn1 0.000 0.000 0.000
Tl1 0.129 0.371 0.000
O1 0.239 0.739 0.500
# - Uncorrected energy: -4.325 eV/atom
# - Relative energy among the computed polymorphs: 0.1728 eV/atom
# - N(E_F): 4.6 states/eV/cell